A.
4
Lattice="3.543 0.000 0.000 0.000 3.543 0.000 0.000 0.000 7.508" Properties=species:S:1:pos:R:3 comment="SmTmCuHg | Alexandria | GGA-PBE | optimized geometry" magnetic_moment_mub_per_atom=0.000 crystal_system=tetragonal sg="No. 99" pbc="T T T"
Tm 1.772 1.772 4.370
Cu 0.000 0.000 2.831
Hg 0.000 0.000 6.316
Sm 1.772 1.772 0.958

---

B.
4
Lattice="5.130 0.000 0.000 2.565 4.442 0.000 2.565 1.481 4.188" Properties=species:S:1:pos:R:3 comment="SmTmCuHg | Alexandria | GGA-PBE | optimized geometry" magnetic_moment_mub_per_atom=0.000 crystal_system=cubic sg="No. 216" pbc="T T T"
Cu 2.565 1.481 1.047
Hg 7.694 4.442 3.141
Tm 0.000 0.000 0.000
Sm 5.130 2.962 2.094

---

It is A that is most stable; the runner-up trails by 27 meV per atom.

---

A.
5
Lattice="-0.182 -3.446 0.286 3.451 -0.163 0.228 1.099 -1.057 8.915" Properties=species:S:1:pos:R:3 comment="Cu2SnHg2 | Alexandria | GGA-PBE | optimized geometry" magnetic_moment_mub_per_atom=0.000 crystal_system=tetragonal sg="No. 139" pbc="T T T"
Cu 1.276 -3.154 4.729
Cu 3.092 -1.512 4.700
Sn 0.000 0.000 0.000
Hg 1.500 -1.616 2.435
Hg 2.868 -3.049 6.994

---

B.
5
Lattice="4.022 0.000 0.000 0.000 4.022 0.000 2.011 2.011 6.396" Properties=species:S:1:pos:R:3 comment="Cu2SnHg2 | Alexandria | GGA-PBE | optimized geometry" magnetic_moment_mub_per_atom=0.000 crystal_system=tetragonal sg="No. 139" pbc="T T T"
Hg 2.011 4.022 3.198
Hg 4.022 2.011 3.198
Cu 4.022 4.022 5.203
Cu 2.011 2.011 1.192
Sn 0.000 0.000 0.000

---

It is A that is most stable; the runner-up trails by 84 meV per atom.

---

A.
10
Lattice="-7.695 1.519 1.393 -2.059 -5.854 -4.994 0.028 -2.013 2.348" Properties=species:S:1:pos:R:3 comment="Cu2SnHg2 | Alexandria | GGA-PBE | optimized geometry" magnetic_moment_mub_per_atom=0.000 crystal_system=tetragonal sg="No. 127" pbc="T T T"
Sn -4.877 -2.168 -1.801
Sn 0.000 0.000 0.000
Hg -7.957 -2.413 -1.975
Hg -4.578 -4.504 -3.807
Hg -5.177 0.168 0.206
Hg -1.798 -1.923 -1.627
Cu -6.808 -4.905 -2.087
Cu -2.919 -1.444 0.834
Cu -7.127 -1.711 0.655
Cu -2.599 -4.638 -1.907

---

B.
10
Lattice="-4.928 0.363 -5.371 -1.766 -6.988 1.148 -2.545 1.039 2.406" Properties=species:S:1:pos:R:3 comment="Cu2SnHg2 | Alexandria | GGA-PBE | optimized geometry" magnetic_moment_mub_per_atom=0.000 crystal_system=tetragonal sg="No. 127" pbc="T T T"
Hg -6.031 -5.059 -1.423
Hg -3.208 -0.528 -0.393
Hg -3.274 -4.082 1.072
Hg -5.965 -1.505 -2.888
Cu -1.284 -2.562 -0.252
Cu -3.313 -0.659 -3.221
Cu -5.410 -4.063 -3.970
Cu -3.381 -5.966 -1.001
Sn 0.000 0.000 0.000
Sn -3.347 -3.312 -2.111

---

It is B that is most stable; the runner-up trails by 39 meV per atom.

---

A.
5
Lattice="4.846 0.000 0.000 0.000 4.846 0.000 0.000 0.000 4.846" Properties=species:S:1:pos:R:3 comment="Cu3SnHg | Alexandria | GGA-PBE | optimized geometry" magnetic_moment_mub_per_atom=0.000 crystal_system=cubic sg="No. 221" pbc="T T T"
Sn 2.423 2.423 2.423
Cu 2.423 0.000 0.000
Cu 0.000 0.000 2.423
Cu 0.000 2.423 0.000
Hg 0.000 0.000 0.000

---

B.
5
Lattice="4.914 0.000 0.000 0.000 4.914 0.000 0.000 0.000 4.914" Properties=species:S:1:pos:R:3 comment="Cu3SnHg | Alexandria | GGA-PBE | optimized geometry" magnetic_moment_mub_per_atom=0.000 crystal_system=cubic sg="No. 221" pbc="T T T"
Hg 2.457 2.457 2.457
Sn 0.000 0.000 0.000
Cu 2.457 0.000 0.000
Cu 0.000 0.000 2.457
Cu 0.000 2.457 0.000

---

It is B that is most stable; the runner-up trails by 86 meV per atom.

---

A.
8
Lattice="4.270 0.000 0.000 0.000 4.270 0.000 2.135 2.135 8.921" Properties=species:S:1:pos:R:3 comment="Cu2SnHg | Alexandria | GGA-PBE | optimized geometry" magnetic_moment_mub_per_atom=0.000 crystal_system=tetragonal sg="No. 122" pbc="T T T"
Cu 1.267 3.203 2.230
Cu 5.338 5.139 6.691
Cu 3.203 3.402 6.691
Cu 3.004 1.068 2.230
Hg 4.270 2.135 4.461
Hg 0.000 0.000 0.000
Sn 2.135 2.135 0.000
Sn 2.135 4.270 4.461

---

B.
4
Lattice="0.000 3.296 3.296 3.296 0.000 3.296 3.296 3.296 0.000" Properties=species:S:1:pos:R:3 comment="Cu2SnHg | Alexandria | GGA-PBE | optimized geometry" magnetic_moment_mub_per_atom=0.000 crystal_system=cubic sg="No. 225" pbc="T T T"
Cu 1.648 1.648 1.648
Cu 4.944 4.944 4.944
Hg 3.296 3.296 3.296
Sn 0.000 0.000 0.000

---

It is B that is most stable; the runner-up trails by 77 meV per atom.

---

A.
5
Lattice="-0.840 -0.169 4.491 -1.262 -4.376 -0.401 4.005 -3.812 2.933" Properties=species:S:1:pos:R:3 comment="Cu2Sn2Hg | Alexandria | GGA-PBE | optimized geometry" magnetic_moment_mub_per_atom=0.000 crystal_system=tetragonal sg="No. 139" pbc="T T T"
Sn 0.846 -5.230 2.288
Sn 1.057 -3.127 4.734
Cu 0.101 -2.623 2.247
Cu 1.802 -5.734 4.775
Hg 0.000 0.000 0.000

---

B.
10
Lattice="-6.302 -3.138 -0.629 1.701 -4.462 5.211 -1.547 2.565 2.701" Properties=species:S:1:pos:R:3 comment="Cu2Sn2Hg | Alexandria | GGA-PBE | optimized geometry" magnetic_moment_mub_per_atom=0.000 crystal_system=tetragonal sg="No. 127" pbc="T T T"
Hg 0.000 0.000 0.000
Hg -2.300 -3.800 2.291
Sn -5.457 -2.818 2.562
Sn -2.589 -0.507 2.011
Sn -0.691 -2.217 4.721
Sn -3.559 -4.527 5.272
Cu -3.730 -2.525 0.262
Cu -4.444 -5.535 2.711
Cu -0.157 -2.064 1.870
Cu -0.871 -5.074 4.319

---

It is B that is most stable; the runner-up trails by 145 meV per atom.

---

A.
10
Lattice="-3.498 4.950 -5.811 -7.225 -0.083 4.279 0.866 2.384 1.509" Properties=species:S:1:pos:R:3 comment="Cu2Sn2Hg | Alexandria | GGA-PBE | optimized geometry" magnetic_moment_mub_per_atom=0.000 crystal_system=tetragonal sg="No. 127" pbc="T T T"
Sn -7.476 1.712 1.587
Sn -3.092 0.662 0.730
Sn -3.247 3.155 -3.119
Sn -7.631 4.205 -2.262
Cu -7.965 4.362 0.568
Cu -5.020 5.348 -2.680
Cu -4.837 1.903 2.657
Cu -1.892 2.889 -0.591
Hg -5.361 2.434 -0.766
Hg 0.000 0.000 0.000

---

B.
5
Lattice="-3.062 0.007 -1.696 0.095 -3.494 -0.186 -5.708 -2.263 6.684" Properties=species:S:1:pos:R:3 comment="Cu2Sn2Hg | Alexandria | GGA-PBE | optimized geometry" magnetic_moment_mub_per_atom=0.000 crystal_system=tetragonal sg="No. 139" pbc="T T T"
Sn -2.544 -1.874 0.974
Sn -6.130 -3.875 3.828
Cu -3.548 -3.750 2.779
Cu -5.126 -1.999 2.024
Hg 0.000 0.000 0.000

---

It is B that is most stable; the runner-up trails by 65 meV per atom.

---

A.
5
Lattice="5.066 0.000 0.000 0.000 5.066 0.000 0.000 0.000 5.066" Properties=species:S:1:pos:R:3 comment="CuSnHg3 | Alexandria | GGA-PBE | optimized geometry" magnetic_moment_mub_per_atom=0.000 crystal_system=cubic sg="No. 221" pbc="T T T"
Hg 2.533 0.000 0.000
Hg 0.000 0.000 2.533
Hg 0.000 2.533 0.000
Sn 2.533 2.533 2.533
Cu 0.000 0.000 0.000

---

B.
5
Lattice="5.631 0.000 0.000 0.000 5.631 0.000 0.000 0.000 5.631" Properties=species:S:1:pos:R:3 comment="CuSnHg3 | Alexandria | GGA-PBE | optimized geometry" magnetic_moment_mub_per_atom=0.000 crystal_system=cubic sg="No. 221" pbc="T T T"
Hg 2.816 0.000 0.000
Hg 0.000 2.816 0.000
Hg 0.000 0.000 2.816
Cu 2.816 2.816 2.816
Sn 0.000 0.000 0.000

---

It is A that is most stable; the runner-up trails by 354 meV per atom.